1.
# La3DyMg, relaxed, DFT PBE
data_La3DyMg
_cell_length_a 18.641
_cell_length_b 5.854
_cell_length_c 6.175
_cell_angle_alpha 90.00
_cell_angle_beta 93.55
_cell_angle_gamma 90.00
_space_group_name_H-M_alt 'C 1 2/m 1'
_space_group_IT_number 12
loop_
_space_group_symop_operation_xyz
'x,y,z'
'-x,-y,-z'
'-x,y,-z'
'x,-y,z'
'x+1/2,y+1/2,z'
'-x+1/2,-y+1/2,-z'
'-x+1/2,y+1/2,-z'
'x+1/2,-y+1/2,z'
loop_
_atom_site_label
_atom_site_type_symbol
_atom_site_fract_x
_atom_site_fract_y
_atom_site_fract_z
La1 La 0.042 0.000 0.258
La2 La 0.143 0.500 0.170
La3 La 0.152 0.000 0.782
Dy1 Dy 0.249 0.000 0.320
Mg1 Mg 0.059 0.500 0.670
# **Density**: 6.0 g cm⁻³
# **E**: -4.155 eV/atom

***

2.
# La8Dy5Mg, relaxed, DFT PBE
data_La8Dy5Mg
_cell_length_a 9.893
_cell_length_b 9.893
_cell_length_c 10.260
_cell_angle_alpha 90.00
_cell_angle_beta 90.00
_cell_angle_gamma 90.00
_space_group_name_H-M_alt 'I -4'
_space_group_IT_number 82
loop_
_space_group_symop_operation_xyz
'x,y,z'
'y,-x,-z'
'-x,-y,z'
'-y,x,-z'
'x+1/2,y+1/2,z+1/2'
'y+1/2,-x+1/2,-z+1/2'
'-x+1/2,-y+1/2,z+1/2'
'-y+1/2,x+1/2,-z+1/2'
loop_
_atom_site_label
_atom_site_type_symbol
_atom_site_fract_x
_atom_site_fract_y
_atom_site_fract_z
La1 La 0.066 0.165 0.167
La2 La 0.089 0.315 0.497
Dy1 Dy 0.000 0.500 0.250
Dy2 Dy 0.099 0.300 0.827
Mg1 Mg 0.000 0.000 0.500
# **Density**: 6.4 g cm⁻³
# **E**: -4.343 eV/atom

***

3.
# La2DyMg, relaxed, DFT PBE
data_La2DyMg
_cell_length_a 3.6204
_cell_length_b 3.6204
_cell_length_c 34.9349
_cell_angle_alpha 90.00
_cell_angle_beta 90.00
_cell_angle_gamma 120.00
_space_group_name_H-M_alt 'R 3 m'
_space_group_IT_number 160
_space_group_name_Hall 'R 3 -2"'
loop_
_atom_site_label
_atom_site_type_symbol
_atom_site_fract_x
_atom_site_fract_y
_atom_site_fract_z
La1 La 0.0000 0.0000 0.0000
La2 La 0.0000 0.0000 0.1695
Dy1 Dy 0.0000 0.0000 0.7517
Mg1 Mg 0.0000 0.0000 0.5846
# **Density**: 5.8 g cm⁻³
# **E above lowest polymorph**: 1.75 kcal/mol of atoms

***

4.
# La7Dy12Mg, relaxed, DFT PBE
data_La7Dy12Mg
_cell_length_a 12.2058
_cell_length_b 12.2058
_cell_length_c 15.7011
_cell_angle_alpha 90.00
_cell_angle_beta 90.00
_cell_angle_gamma 120.00
_space_group_name_H-M_alt 'R -3'
_space_group_IT_number 148
_space_group_name_Hall '-R 3'
loop_
_atom_site_label
_atom_site_type_symbol
_atom_site_fract_x
_atom_site_fract_y
_atom_site_fract_z
La1 La 0.0000 0.0000 0.0000
La2 La 0.0109 0.5725 0.7211
Dy1 Dy 0.0483 0.8615 0.8002
Dy2 Dy 0.0714 0.2625 0.4155
Mg1 Mg 0.0000 0.0000 0.5000
# **Density**: 7.2 g cm⁻³
# **E**: -4.368 eV/atom

***

5.
# La3Dy3Mg, relaxed, DFT PBE
data_La3Dy3Mg
_cell_length_a 9.6662
_cell_length_b 9.6662
_cell_length_c 5.7193
_cell_angle_alpha 90.00
_cell_angle_beta 90.00
_cell_angle_gamma 120.00
_space_group_name_H-M_alt 'P 63/m'
_space_group_IT_number 176
_space_group_name_Hall '-P 6c'
loop_
_atom_site_label
_atom_site_type_symbol
_atom_site_fract_x
_atom_site_fract_y
_atom_site_fract_z
La1 La 0.1010 0.4697 0.2500
Dy1 Dy 0.0509 0.2321 0.7500
Mg1 Mg 0.3333 0.6667 0.7500
# **Density**: 6.7 g cm⁻³
# **E**: -4.296 eV/atom

***

6.
# La2DyMg, relaxed, DFT PBE
data_La2DyMg
_cell_length_a 5.329
_cell_length_b 5.329
_cell_length_c 18.225
_cell_angle_alpha 90.00
_cell_angle_beta 90.00
_cell_angle_gamma 90.00
_space_group_name_H-M_alt 'I 4/m m m'
_space_group_IT_number 139
_space_group_name_Hall '-I 4 2'
loop_
_atom_site_label
_atom_site_type_symbol
_atom_site_fract_x
_atom_site_fract_y
_atom_site_fract_z
La1 La 0.000 0.000 0.136
La2 La 0.000 0.500 0.000
Dy1 Dy 0.000 0.000 0.360
Mg1 Mg 0.000 0.500 0.250
# **Density**: 6.0 g cm⁻³
# **E above lowest polymorph**: 0.00 kcal/mol of atoms

***

7.
# La5Dy4Mg, relaxed, DFT PBE
data_La5Dy4Mg
_cell_length_a 3.722
_cell_length_b 3.722
_cell_length_c 24.410
_cell_angle_alpha 90.00
_cell_angle_beta 90.00
_cell_angle_gamma 90.00
_space_group_name_H-M_alt 'P 4/m m m'
_space_group_IT_number 123
_space_group_name_Hall '-P 4 2'
loop_
_atom_site_label
_atom_site_type_symbol
_atom_site_fract_x
_atom_site_fract_y
_atom_site_fract_z
La1 La 0.000 0.000 0.000
La2 La 0.000 0.000 0.204
La3 La 0.000 0.000 0.409
Dy1 Dy 0.500 0.500 0.103
Dy2 Dy 0.500 0.500 0.307
Mg1 Mg 0.500 0.500 0.500
# **Density**: 6.7 g cm⁻³
# **E**: -4.460 eV/atom

***

8.
# La2Dy3Mg2, relaxed, DFT PBE
data_La2Dy3Mg2
_cell_length_a 3.569
_cell_length_b 34.484
_cell_length_c 3.539
_cell_angle_alpha 90.00
_cell_angle_beta 90.00
_cell_angle_gamma 90.00
_space_group_name_H-M_alt 'C m m m'
_space_group_IT_number 65
_space_group_name_Hall '-C 2 2'
loop_
_atom_site_label
_atom_site_type_symbol
_atom_site_fract_x
_atom_site_fract_y
_atom_site_fract_z
La1 La 0.000 0.205 0.000
Dy1 Dy 0.000 0.071 0.000
Dy2 Dy 0.000 0.500 0.500
Mg1 Mg 0.000 0.364 0.500
# **Density**: 6.2 g cm⁻³
# **E**: -3.823 eV/atom

***

9.
# La5DyMg2, relaxed, DFT PBE
data_La5DyMg2
_cell_length_a 8.325
_cell_length_b 8.325
_cell_length_c 7.697
_cell_angle_alpha 90.00
_cell_angle_beta 90.00
_cell_angle_gamma 90.00
_space_group_name_H-M_alt 'I 4 m m'
_space_group_IT_number 107
_space_group_name_Hall 'I 4 -2'
loop_
_atom_site_label
_atom_site_type_symbol
_atom_site_fract_x
_atom_site_fract_y
_atom_site_fract_z
La1 La 0.000 0.000 0.000
La2 La 0.250 0.250 0.249
Dy1 Dy 0.000 0.000 0.498
Mg1 Mg 0.000 0.500 0.499
# **Density**: 5.6 g cm⁻³
# **E**: -4.052 eV/atom

***

10.
# La14DyMg, relaxed, DFT PBE
data_La14DyMg
_cell_length_a 7.349
_cell_length_b 7.349
_cell_length_c 10.498
_cell_angle_alpha 90.00
_cell_angle_beta 90.00
_cell_angle_gamma 90.00
_space_group_name_H-M_alt 'P 4/m m m'
_space_group_IT_number 123
_space_group_name_Hall '-P 4 2'
loop_
_atom_site_label
_atom_site_type_symbol
_atom_site_fract_x
_atom_site_fract_y
_atom_site_fract_z
La1 La 0.000 0.000 0.000
La2 La 0.000 0.500 0.000
La3 La 0.000 0.500 0.500
La4 La 0.248 0.248 0.253
La5 La 0.500 0.500 0.000
Dy1 Dy 0.500 0.500 0.500
Mg1 Mg 0.000 0.000 0.500
# **Density**: 6.2 g cm⁻³
# **E**: -4.704 eV/atom

***

11.
# La2Dy2Mg, relaxed, DFT PBE
data_La2Dy2Mg
_cell_length_a 3.621
_cell_length_b 4.904
_cell_length_c 18.213
_cell_angle_alpha 90.00
_cell_angle_beta 90.00
_cell_angle_gamma 90.00
_space_group_name_H-M_alt 'I m m m'
_space_group_IT_number 71
_space_group_name_Hall '-I 2 2'
loop_
_atom_site_label
_atom_site_type_symbol
_atom_site_fract_x
_atom_site_fract_y
_atom_site_fract_z
La1 La 0.000 0.000 0.095
Dy1 Dy 0.000 0.000 0.295
Mg1 Mg 0.000 0.000 0.500
# **Density**: 6.4 g cm⁻³
# **E**: -4.123 eV/atom

***

12.
# La5DyMg6, relaxed, DFT PBE
data_La5DyMg6
_cell_length_a 5.556
_cell_length_b 16.680
_cell_length_c 7.891
_cell_angle_alpha 90.00
_cell_angle_beta 90.00
_cell_angle_gamma 90.00
_space_group_name_H-M_alt 'C m m m'
_space_group_IT_number 65
_space_group_name_Hall '-C 2 2'
loop_
_atom_site_label
_atom_site_type_symbol
_atom_site_fract_x
_atom_site_fract_y
_atom_site_fract_z
La1 La 0.000 0.000 0.000
La2 La 0.000 0.330 0.000
La3 La 0.000 0.335 0.500
Dy1 Dy 0.000 0.000 0.500
Mg1 Mg 0.000 0.164 0.256
Mg2 Mg 0.000 0.500 0.255
# **Density**: 4.6 g cm⁻³
# **E**: -3.342 eV/atom

***

Taking the records one at a time from the top gives volume values of 33.62, 35.87, 33.05, 33.76, 33.06, 32.35, 33.81, 31.11, 33.34, 35.44, 32.34, 30.47 Å³/atom.